No. 1
DyPb3 at its PBEsol-relaxed geometry. Source: the Alexandria database, functional SCAN.

Values from the calculation:
Crystal system   cubic
Calculated volume   109.39 Å³/cell
E_form   -405.1 meV per atom

Cell and atoms, written as POSCAR:
```
DyPb3
1.0
4.783 0.000 0.000
0.000 4.783 0.000
0.000 0.000 4.783
Dy Pb
1 3
direct
0.000 0.000 0.000
0.000 0.500 0.500
0.500 0.000 0.500
0.500 0.500 0.000
```

---

No. 2
DyPdPb at its PBEsol-relaxed geometry. Source: the Alexandria database, functional SCAN.

Values from the calculation:
Crystal system   hexagonal
Calculated volume   196.15 Å³/cell
E_form   -872.5 meV per atom

Cell and atoms, written as POSCAR:
```
DyPdPb
1.0
7.657 0.000 0.000
-3.828 6.631 0.000
0.000 0.000 3.863
Dy Pd Pb
3 3 3
direct
0.000 0.598 0.000
0.402 0.402 0.000
0.598 0.000 0.000
0.000 0.000 0.000
0.333 0.667 0.500
0.667 0.333 0.500
0.000 0.265 0.500
0.265 0.000 0.500
0.735 0.735 0.500
```

---

No. 3
Dy2Pd2Pb at its PBEsol-relaxed geometry. Source: the Alexandria database, functional SCAN.

Values from the calculation:
Crystal system   tetragonal
Calculated volume   214.89 Å³/cell
E_form   -971.4 meV per atom

Cell and atoms, written as POSCAR:
```
Dy2Pd2Pb
1.0
7.735 0.000 0.000
0.000 7.735 0.000
0.000 0.000 3.592
Dy Pd Pb
4 4 2
direct
0.172 0.328 0.000
0.328 0.828 0.000
0.672 0.172 0.000
0.828 0.672 0.000
0.126 0.626 0.500
0.374 0.126 0.500
0.626 0.874 0.500
0.874 0.374 0.500
0.000 0.000 0.500
0.500 0.500 0.500
```

---

No. 4
DyPd3 at its PBEsol-relaxed geometry. Source: the Alexandria database, functional SCAN.

Values from the calculation:
Crystal system   cubic
Calculated volume   66.07 Å³/cell
E_form   -951.3 meV per atom

Cell and atoms, written as POSCAR:
```
DyPd3
1.0
4.043 0.000 0.000
0.000 4.043 0.000
0.000 0.000 4.043
Dy Pd
1 3
direct
0.000 0.000 0.000
0.000 0.500 0.500
0.500 0.000 0.500
0.500 0.500 0.000
```

---

No. 5
Dy2PdPt at its PBEsol-relaxed geometry. Source: the Alexandria database, functional SCAN.

Values from the calculation:
Crystal system   orthorhombic
Calculated volume   169.01 Å³/cell
E_form   -1278.8 meV per atom

Cell and atoms, written as POSCAR:
```
Dy2PdPt
1.0
4.518 0.000 0.000
0.000 5.473 0.000
0.000 0.000 6.835
Dy Pd Pt
4 2 2
direct
0.000 0.104 0.000
0.000 0.896 0.500
0.500 0.388 0.636
0.500 0.612 0.136
0.000 0.408 0.359
0.000 0.592 0.859
0.500 0.100 0.275
0.500 0.900 0.775
```

---

No. 6
Dy2PdRh at its PBEsol-relaxed geometry. Source: the Alexandria database, functional SCAN.

Values from the calculation:
Crystal system   cubic
Calculated volume   78.94 Å³/cell
E_form   -992.3 meV per atom

Cell and atoms, written as POSCAR:
```
Dy2PdRh
1.0
0.000 3.405 3.405
3.405 0.000 3.405
3.405 3.405 0.000
Dy Pd Rh
2 1 1
direct
0.250 0.250 0.250
0.750 0.750 0.750
0.000 0.000 0.000
0.500 0.500 0.500
```

---

Here are the calculated uncorrected energy numbers, same order: -69.19 -52.99 -48.36 -37.48 -50.92 -41.53 (eV per atom).